Model a:
Entry from the Alexandria database: a geometry-optimized PrYPdPt structure (PBE).

Structure (extended XYZ):
```
4
Lattice="-1.4023 3.3492 1.3084 -3.8080 -2.1174 1.3386 2.9293 -2.6285 4.1755" Properties=species:S:1:pos:R:3 pbc="T T T"
Pr 0.6175 -0.2643 1.3384
Y -0.9816 -0.0792 4.8427
Pd -2.2284 0.4546 2.1401
Pt 1.8386 -0.7871 3.9854
```

Output
DOS(E_F) (states/eV/f.u.): 2.53
Symmetry: Amm2, No. 38

***

Model b:
Entry from the Alexandria database: a geometry-optimized PrYPdPt structure (PBE).

Structure (extended XYZ):
```
4
Lattice="-3.1682 3.5142 -1.7954 -1.6506 -0.2841 -4.7755 -4.8278 -1.1899 -0.9420" Properties=species:S:1:pos:R:3 pbc="T T T"
Pr 0.0000 0.0000 0.0000
Y -4.8233 1.0201 -3.7565
Pd -2.4116 0.5100 -1.8782
Pt -7.2349 1.5301 -5.6347
```

Output
DOS(E_F) (states/eV/f.u.): 3.88
Symmetry: F-43m, No. 216

***

Stability check: which of them is most stable? model a.

***

Model a:
Entry from the Alexandria database: a geometry-optimized PrPu2Pd structure (PBE).

Structure (extended XYZ):
```
4
Lattice="3.5060 0.0000 0.0000 1.7530 3.0363 0.0000 1.7530 1.0121 10.7185" Properties=species:S:1:pos:R:3 pbc="T T T"
Pr 0.0000 0.0000 0.0000
Pd 3.5060 2.0242 5.3592
Pu 1.7530 1.0121 7.4329
Pu 5.2590 3.0363 3.2856
```

Output
DOS(E_F) (states/eV/f.u.): 18.20
Symmetry: R-3m, No. 166

***

Model b:
Entry from the Alexandria database: a geometry-optimized PrPu2Pd structure (PBE).

Structure (extended XYZ):
```
4
Lattice="-0.8955 -2.5309 2.4916 3.4450 0.0059 1.2441 -1.8728 5.7412 5.1587" Properties=species:S:1:pos:R:3 pbc="T T T"
Pr 0.3383 1.6081 4.4472
Pd 1.2747 -1.2625 1.8679
Pu -1.5017 4.6034 4.1364
Pu -0.3712 1.1378 1.0224
```

Output
DOS(E_F) (states/eV/f.u.): 14.91
Symmetry: P4/mmm, No. 123

***

Stability check: which of them is most stable? model b.

***

Model a:
Entry from the Alexandria database: a geometry-optimized PrPdRh structure (PBE).

Structure (extended XYZ):
```
3
Lattice="3.9115 0.0000 0.0000 0.0000 4.4026 0.0000 0.0000 -2.2013 3.8127" Properties=species:S:1:pos:R:3 pbc="T T T"
Pr 2.6077 2.2013 1.2709
Rh 0.6517 0.0000 2.5418
Pd 0.6520 0.0000 0.0000
```

Output
DOS(E_F) (states/eV/f.u.): 0.47
Symmetry: P-6m2, No. 187

***

Model b:
Entry from the Alexandria database: a geometry-optimized PrPdRh structure (PBE).

Structure (extended XYZ):
```
3
Lattice="3.6285 0.0000 0.0000 0.0000 3.6285 0.0000 -1.8142 -1.8142 4.5972" Properties=species:S:1:pos:R:3 pbc="T T T"
Pr 1.8142 1.8142 4.1674
Rh 1.8142 1.8142 1.1137
Pd 0.0000 0.0000 2.5342
```

Output
DOS(E_F) (states/eV/f.u.): 2.69
Symmetry: I4mm, No. 107

***

Stability check: which of them is most stable? model a.

***

Model a:
Entry from the Alexandria database: a geometry-optimized PrPdRh structure (PBE).

Structure (extended XYZ):
```
12
Lattice="-3.1086 -3.7684 2.0697 -4.3081 -3.4758 -5.0265 2.9783 -6.8544 -0.2345" Properties=species:S:1:pos:R:3 pbc="T T T"
Pd -1.5366 -10.5686 -2.8333
Pd -3.5673 -8.6956 -2.9883
Pd -2.9019 -3.5300 -0.3581
Pd -0.8711 -5.4030 -0.2030
Pr -0.6062 -7.7041 -2.2292
Pr -4.2488 -6.0145 -4.6243
Pr -3.8323 -6.3945 -0.9622
Pr -0.1897 -8.0841 1.4329
Rh -2.3721 -9.0608 -0.4999
Rh -6.0151 -7.3710 -2.8956
Rh -2.0664 -5.0378 -2.6914
Rh 1.5766 -6.7276 -0.2957
```

Output
DOS(E_F) (states/eV/f.u.): 2.27
Symmetry: P2_1/m, No. 11

***

Model b:
Entry from the Alexandria database: a geometry-optimized PrPdRh structure (PBE).

Structure (extended XYZ):
```
6
Lattice="-2.7671 -2.2317 4.2137 -0.8937 -5.4134 0.1523 2.6163 -3.1467 3.6579" Properties=species:S:1:pos:R:3 pbc="T T T"
Pr -1.7837 -5.1509 5.1165
Pr 0.7391 -5.6409 2.9073
Pd -1.8304 -3.8226 2.1830
Pd -0.0754 -2.6892 3.9358
Rh 0.0000 0.0000 0.0000
Rh -1.3836 -1.1159 2.1068
```

Output
DOS(E_F) (states/eV/f.u.): 2.39
Symmetry: Imma, No. 74

***

Stability check: which of them is most stable? model b.

***

Model a:
Entry from the Alexandria database: a geometry-optimized Pr8Pd2Rh structure (PBE).

Structure (extended XYZ):
```
11
Lattice="-2.3138 -3.4564 -4.9388 7.7228 -1.3353 -0.5897 -3.3071 -3.5936 6.1581" Properties=species:S:1:pos:R:3 pbc="T T T"
Pr 1.0338 -2.8522 -2.6007
Pr -1.8484 -3.4423 -0.8374
Pr 1.1944 -2.3539 1.1645
Pr -3.4165 -6.5382 -0.0210
Pr 3.2808 -5.1670 -4.1182
Pr 0.9875 -5.9582 -0.3798
Pr 4.0758 -4.7965 1.7399
Pr 1.2099 -5.3833 3.4932
Pd 3.1713 -3.7483 -0.8514
Pd -0.9592 -4.5940 1.6755
Rh -0.3827 -0.7154 -0.8650
```

Output
DOS(E_F) (states/eV/f.u.): 12.31
Symmetry: Cm, No. 8

***

Model b:
Entry from the Alexandria database: a geometry-optimized Pr8Pd2Rh structure (PBE).

Structure (extended XYZ):
```
11
Lattice="5.2056 0.0000 0.0000 0.0000 6.9860 0.6112 -2.6028 -2.2622 8.7150" Properties=species:S:1:pos:R:3 pbc="T T T"
Pr 0.0000 2.0380 7.5250
Pr 2.6028 6.0345 3.4283
Pr 2.6028 3.2993 5.6095
Pr 2.6028 -0.5896 8.2968
Pr 0.0000 1.4246 3.7168
Pr 0.0000 -1.3106 5.8980
Pr 2.6028 2.6858 1.8013
Pr 0.0000 5.3134 1.0295
Pd 2.6028 0.4148 5.4206
Pd 0.0000 4.3091 3.9056
Rh 2.6028 0.0000 0.0000
```

Output
DOS(E_F) (states/eV/f.u.): 12.38
Symmetry: C2/m, No. 12

***

Stability check: which of them is most stable? model b.

***

Model a:
Entry from the Alexandria database: a geometry-optimized Pr3PdRh structure (PBE).

Structure (extended XYZ):
```
20
Lattice="-8.1925 1.7281 -1.7040 -1.9460 -2.5294 6.7906 -1.4117 8.4671 2.7493" Properties=species:S:1:pos:R:3 pbc="T T T"
Pr -4.5974 6.9342 2.5284
Pr -6.9528 0.7316 5.3076
Pr -2.4764 0.3616 4.8332
Pr -9.0738 7.3042 3.0027
Pr -6.6115 6.3456 6.1253
Pr -4.9386 1.3202 1.7107
Pr -0.5788 0.7988 1.6427
Pr -10.9713 6.8670 6.1932
Pr -9.1057 3.4593 6.9238
Pr -2.4444 4.2065 0.9121
Pr -7.4922 3.8338 3.3805
Pr -4.0580 3.8320 4.4554
Pd -6.9140 8.7854 1.5950
Pd -4.6362 -1.1196 6.2409
Pd -7.9020 0.8237 2.4914
Pd -3.6481 6.8421 5.3445
Rh -6.2992 3.5200 6.2391
Rh -5.2509 4.1458 1.5968
Rh -1.3967 2.9673 3.2929
Rh -10.1535 4.6985 4.5430
```

Output
DOS(E_F) (states/eV/f.u.): 4.26
Symmetry: P2_1/c, No. 14

***

Model b:
Entry from the Alexandria database: a geometry-optimized Pr3PdRh structure (PBE).

Structure (extended XYZ):
```
10
Lattice="-2.2822 -0.2251 3.3240 2.4526 -8.0384 1.1396 5.4607 4.9417 4.0839" Properties=species:S:1:pos:R:3 pbc="T T T"
Pr 2.0131 -3.3807 4.8330
Pr 3.6179 0.0589 3.7146
Pr 4.3184 2.0368 6.7825
Pr 5.7815 -3.8615 4.9346
Pr 1.3127 -5.3586 1.7650
Pr -0.1504 0.5397 3.6129
Pd 1.5585 -1.6398 2.1856
Pd 4.0726 -1.6819 6.3619
Rh 3.7181 -5.3392 3.4179
Rh 1.9129 2.0174 5.1296
```

Output
DOS(E_F) (states/eV/f.u.): 3.62
Symmetry: P2_1/m, No. 11

***

Stability check: which of them is most stable? model a.